(1)
A relaxed structure of CsPPtS2. Source: Alexandria, functional GGA-PBE.

Geometry as POSCAR:
```
CsPPtS2
1.0
-2.3262 1.8699 -4.3739
-1.6214 -4.8890 -1.2278
-4.8949 0.8756 2.9776
S Cs P Pt
2 1 1 1
direct
0.0000 0.5000 0.0000
0.5000 0.0000 0.0000
0.0000 0.0000 0.0000
0.0000 0.0000 0.5000
0.5000 0.5000 0.5000
```

Computed properties:
Energy: -0.141 Ry/atom
ΔE_f (raw): 2.1888 eV/atom
Symmetry: No. 123
V: 162.5 Å³/cell


(2)
A relaxed structure of ErGaPd6. Source: Alexandria, functional GGA-PBE.

Geometry as POSCAR:
```
ErGaPd6
1.0
-0.9350 3.8872 -0.5990
-2.4454 -1.0568 -3.0408
-6.0357 -0.6680 5.0859
Ga Er Pd
1 1 6
direct
0.0000 0.0000 0.5000
0.0000 0.0000 0.0000
0.0000 0.5000 0.2646
0.5000 0.0000 0.7354
0.5000 0.5000 0.5000
0.5000 0.5000 0.0000
0.5000 0.0000 0.2646
0.0000 0.5000 0.7354
```

Computed properties:
Energy: -0.406 Ry/atom
Calculated formation energy: -0.682 eV/atom
Symmetry: No. 123
V: 129.5 Å³/cell


(3)
A relaxed structure of Ca8Cd2Cu. Source: Alexandria, functional GGA-PBE.

Geometry as POSCAR:
```
Ca8Cd2Cu
1.0
5.4530 0.0000 0.0000
0.0000 7.3425 0.1321
-2.7265 -2.9904 9.0350
Ca Cd Cu
8 2 1
direct
0.2067 0.3027 0.4135
0.0246 0.7886 0.0492
0.7933 0.6973 0.5865
0.9754 0.2114 0.9508
0.3448 0.0373 0.6896
0.6552 0.9627 0.3104
0.4065 0.5645 0.8130
0.5935 0.4355 0.1870
0.1835 0.7176 0.3670
0.8165 0.2824 0.6330
0.5000 0.0000 0.0000
```

Computed properties:
Energy: -0.156 Ry/atom
Calculated formation energy: -0.130 eV/atom
Symmetry: No. 12
V: 363.9 Å³/cell


(4)
A relaxed structure of LaHfTh2. Source: Alexandria, functional GGA-PBE.

Geometry as POSCAR:
```
LaHfTh2
1.0
-1.8389 -3.6450 2.6595
3.3920 -3.1072 -1.9132
3.1272 1.1294 3.7102
Th Hf La
2 1 1
direct
0.0000 0.5000 0.0000
0.0000 0.0000 0.5000
0.5000 0.0000 0.0000
0.5000 0.5000 0.5000
```

Computed properties:
Energy: -0.533 Ry/atom
Calculated formation energy: 0.183 eV/atom
Symmetry: No. 123
V: 120.9 Å³/cell


(5)
A relaxed structure of Pu2CuNiH6. Source: Alexandria, functional GGA-PBE.

Geometry as POSCAR:
```
Pu2CuNiH6
1.0
-1.1990 4.9314 0.4368
-4.7789 -1.0312 -1.4301
-3.9031 1.4235 2.9380
H Ni Pu Cu
6 1 2 1
direct
0.2596 0.2596 0.4807
0.7393 0.2606 0.0000
0.2608 0.2609 0.0001
0.2607 0.7394 0.0000
0.7404 0.7404 0.5193
0.7392 0.7391 0.9999
0.5000 0.5000 0.0000
0.7501 0.2500 0.5000
0.2499 0.7501 0.5000
0.0000 0.0000 0.0000
```

Computed properties:
Energy: -0.450 Ry/atom
Symmetry: No. 139
V: 93.2 Å³/cell


(6)
A relaxed structure of ScFe2NiC. Source: Alexandria, functional GGA-PBE.

Geometry as POSCAR:
```
ScFe2NiC
1.0
3.8352 0.0000 0.0000
0.0000 3.8352 0.0000
0.0000 0.0000 3.8447
Fe Sc Ni C
2 1 1 1
direct
0.5000 0.0000 0.0000
0.0000 0.5000 0.0000
0.5000 0.5000 0.5000
0.0000 0.0000 0.5000
0.0000 0.0000 0.0000
```

Computed properties:
Energy: -0.578 Ry/atom
Calculated formation energy: -0.212 eV/atom
Symmetry: No. 123
V: 56.6 Å³/cell